No. 1
Computed, not measured: a relaxed Hf2Ge2Bi crystal at the PBE level of DFT.

a = 7.919 Å, b = 7.919 Å, c = 3.413 Å
α = 90.00°, β = 90.00°, γ = 90.00°
Element x y z (fractional)
Hf1 0.157 0.343 0.000
Hf2 0.657 0.157 0.000
Ge1 0.634 0.866 0.500
Ge2 0.134 0.634 0.500
Hf3 0.343 0.843 0.000
Bi1 0.500 0.500 0.000
Ge3 0.366 0.134 0.500
Bi2 0.000 0.000 0.000
Hf4 0.843 0.657 0.000
Ge4 0.866 0.366 0.500

- D(E_F): 7.30 states/eV/cell
- DFT total energy: -68.1 eV per cell
- Formation energy: -1.0 eV per formula unit
- ΔE to the lowest computed polymorph: 8.6 kJ per mole of atoms



No. 2
Computed, not measured: a relaxed V2ZnCu crystal at the PBE level of DFT.

a = 6.946 Å, b = 6.946 Å, c = 5.445 Å
α = 50.37°, β = 50.37°, γ = 90.00°
Element x y z (fractional)
V1 0.375 0.382 0.750
V2 0.875 0.868 0.750
Zn1 0.000 0.000 0.000
Zn2 0.750 0.250 0.500
V3 0.132 0.625 0.250
Cu1 0.500 0.500 0.000
Cu2 0.250 0.750 0.500
V4 0.618 0.125 0.250

- D(E_F): 7.03 states/eV/cell
- DFT total energy: -43.3 eV per cell
- Formation energy: 2.0 eV per formula unit



No. 3
Computed, not measured: a relaxed LiSb2S4 crystal at the PBE level of DFT.

a = 3.796 Å, b = 7.328 Å, c = 6.551 Å
α = 66.23°, β = 89.99°, γ = 74.98°
Element x y z (fractional)
Sb1 0.267 0.466 0.271
S1 0.371 0.258 0.016
Sb2 0.733 0.534 0.729
S2 0.120 0.760 0.455
S3 0.629 0.742 0.984
Li1 0.000 0.000 0.000
S4 0.880 0.240 0.545

- D(E_F): 3.33 states/eV/cell
- DFT total energy: -29.4 eV per cell
- Formation energy from raw total energies: -0.3946 eV/atom
- ΔE to the lowest computed polymorph: 0.0 kJ per mole of atoms



No. 4
Computed, not measured: a relaxed FeReIr2 crystal at the PBE level of DFT.

a = 2.698 Å, b = 2.698 Å, c = 7.534 Å
α = 90.00°, β = 90.00°, γ = 90.00°
Site moments in Bohr magnetons follow the coordinates.
Element x y z (fractional)
Ir1 0.500 0.500 0.253  -0.09
Re1 0.000 0.000 0.511  -0.05
Fe1 0.500 0.500 0.752  0.91
Ir2 0.000 0.000 0.984  0.01

- D(E_F): 4.83 states/eV/cell
- DFT total energy: -38.7 eV per cell
- Formation energy: 0.0 eV per formula unit
- ΔE to the lowest computed polymorph: 13.1 kJ per mole of atoms



Q: The lowest D(E_F) belongs to which entry?
A: LiSb2S4



Repeat the fourth record exactly.
Computed, not measured: a relaxed FeReIr2 crystal at the PBE level of DFT.

a = 2.698 Å, b = 2.698 Å, c = 7.534 Å
α = 90.00°, β = 90.00°, γ = 90.00°
Site moments in Bohr magnetons follow the coordinates.
Element x y z (fractional)
Ir1 0.500 0.500 0.253  -0.09
Re1 0.000 0.000 0.511  -0.05
Fe1 0.500 0.500 0.752  0.91
Ir2 0.000 0.000 0.984  0.01

- D(E_F): 4.83 states/eV/cell
- DFT total energy: -38.7 eV per cell
- Formation energy: 0.0 eV per formula unit
- ΔE to the lowest computed polymorph: 13.1 kJ per mole of atoms



Q: Look up the D(E_F) of the second one.
A: 7.03 states/eV/cell



What did the first record say?
Computed, not measured: a relaxed Hf2Ge2Bi crystal at the PBE level of DFT.

a = 7.919 Å, b = 7.919 Å, c = 3.413 Å
α = 90.00°, β = 90.00°, γ = 90.00°
Element x y z (fractional)
Hf1 0.157 0.343 0.000
Hf2 0.657 0.157 0.000
Ge1 0.634 0.866 0.500
Ge2 0.134 0.634 0.500
Hf3 0.343 0.843 0.000
Bi1 0.500 0.500 0.000
Ge3 0.366 0.134 0.500
Bi2 0.000 0.000 0.000
Hf4 0.843 0.657 0.000
Ge4 0.866 0.366 0.500

- D(E_F): 7.30 states/eV/cell
- DFT total energy: -68.1 eV per cell
- Formation energy: -1.0 eV per formula unit
- ΔE to the lowest computed polymorph: 8.6 kJ per mole of atoms